[1]
Entry from Alexandria via LeMat-Bulk: a geometry-optimized Be2Nb2Hg structure (PBE-GGA).

a = 6.6675 Å, b = 6.6675 Å, c = 6.6675 Å
α = 147.80°, β = 147.80°, γ = 46.19°
Fractional coordinates of all 5 atoms:
Be  0.2500  0.7500  0.5000
Be  0.7500  0.2500  0.5000
Nb  0.1040  0.1040  0.0000
Nb  0.8960  0.8960  0.0000
Hg  0.5000  0.5000  0.0000

## Properties
M_tot, μB/f.u.: 0.00
Energy of formation from the pure elements, eV per formula unit: 3.55
Relative energy among the computed polymorphs, meV/atom: 303



[2]
Entry from Alexandria via LeMat-Bulk: a geometry-optimized BeNb3Hg structure (PBE-GGA).

a = 4.4633 Å, b = 4.4633 Å, c = 4.4633 Å
α = 90.00°, β = 90.00°, γ = 90.00°
Fractional coordinates of all 5 atoms:
Be  0.0000  0.0000  0.0000
Nb  0.0000  0.0000  0.5000
Nb  0.0000  0.5000  0.0000
Nb  0.5000  0.0000  0.0000
Hg  0.5000  0.5000  0.5000

## Properties
M_tot, μB/f.u.: 0.00
Energy of formation from the pure elements, eV per formula unit: 2.25
Relative energy among the computed polymorphs, meV/atom: 0



[3]
Entry from Alexandria via LeMat-Bulk: a geometry-optimized BeNb2HgSe structure (PBE-GGA).

a = 5.2793 Å, b = 5.2793 Å, c = 4.1702 Å
α = 90.00°, β = 90.00°, γ = 90.00°
Fractional coordinates of all 5 atoms:
Be  0.0000  0.0000  0.0000
Nb  0.0000  0.5000  0.5000
Nb  0.5000  0.0000  0.5000
Hg  0.0000  0.0000  0.5000
Se  0.5000  0.5000  0.0000

## Properties
M_tot, μB/f.u.: 4.14
ΔE_f (raw), eV/atom: 1.348



[4]
Entry from Alexandria via LeMat-Bulk: a geometry-optimized Be2NbHgSe structure (PBE-GGA).

a = 4.2465 Å, b = 4.2465 Å, c = 5.5692 Å
α = 90.00°, β = 90.00°, γ = 90.00°
Fractional coordinates of all 5 atoms:
Be  0.0000  0.5000  0.0000
Be  0.5000  0.0000  0.0000
Nb  0.0000  0.0000  0.5000
Hg  0.0000  0.0000  0.0000
Se  0.5000  0.5000  0.5000

## Properties
M_tot, μB/f.u.: 0.00
ΔE_f (raw), eV/atom: 0.970



[5]
Entry from Alexandria via LeMat-Bulk: a geometry-optimized Ta2BeNbHg structure (PBE-GGA).

a = 4.4558 Å, b = 4.4558 Å, c = 4.4425 Å
α = 90.00°, β = 90.00°, γ = 90.00°
Fractional coordinates of all 5 atoms:
Ta  0.0000  0.5000  0.0000
Ta  0.5000  0.0000  0.0000
Be  0.0000  0.0000  0.0000
Nb  0.0000  0.0000  0.5000
Hg  0.5000  0.5000  0.5000

## Properties
M_tot, μB/f.u.: 0.00
Energy of formation from the pure elements, eV per formula unit: 2.56



[6]
Entry from Alexandria via LeMat-Bulk: a geometry-optimized Be2NbVHg structure (PBE-GGA).

a = 4.4170 Å, b = 4.4170 Å, c = 4.4444 Å
α = 90.00°, β = 90.00°, γ = 90.00°
Fractional coordinates of all 5 atoms:
Be  0.0000  0.5000  0.0000
Be  0.5000  0.0000  0.0000
Nb  0.0000  0.0000  0.5000
V  0.0000  0.0000  0.0000
Hg  0.5000  0.5000  0.5000

## Properties
M_tot, μB/f.u.: 0.00
Energy of formation from the pure elements, eV per formula unit: 5.07



[7]
Entry from Alexandria via LeMat-Bulk: a geometry-optimized YBeNbHg2 structure (PBE-GGA).

a = 5.3974 Å, b = 5.3974 Å, c = 4.7023 Å
α = 90.00°, β = 90.00°, γ = 90.00°
Fractional coordinates of all 5 atoms:
Y  0.0000  0.0000  0.0000
Be  0.0000  0.0000  0.5000
Nb  0.5000  0.5000  0.5000
Hg  0.0000  0.5000  0.0000
Hg  0.5000  0.0000  0.0000

## Properties
M_tot, μB/f.u.: 0.00
Energy of formation from the pure elements, eV per formula unit: 8.20



[8]
Entry from Alexandria via LeMat-Bulk: a geometry-optimized Nd3Be2HgPd9 structure (PBE-GGA).

a = 6.8604 Å, b = 6.8604 Å, c = 7.1325 Å
α = 90.00°, β = 90.00°, γ = 120.00°
Fractional coordinates of all 15 atoms:
Nd  0.0000  0.0000  0.0000
Nd  0.3333  0.6667  0.6662
Nd  0.6667  0.3333  0.3338
Be  0.3333  0.6667  0.1211
Be  0.6667  0.3333  0.8789
Hg  0.0000  0.0000  0.5000
Pd  0.0000  0.5000  0.0000
Pd  0.1925  0.3850  0.3171
Pd  0.1925  0.8075  0.3171
Pd  0.3850  0.1925  0.6829
Pd  0.5000  0.0000  0.0000
Pd  0.5000  0.5000  0.0000
Pd  0.6150  0.8075  0.3171
Pd  0.8075  0.1925  0.6829
Pd  0.8075  0.6150  0.6829

## Properties
M_tot, μB/f.u.: 0.00
Energy of formation from the pure elements, eV per formula unit: -7.57



| no. | V (Å³/cell) | density of states at the Fermi level (states/eV/cell) |
| --- | --- | --- |
| 1 | 84 | 5.08 |
| 2 | 89 | 8.55 |
| 3 | 116 | 4.93 |
| 4 | 100 | 4.00 |
| 5 | 88 | 7.62 |
| 6 | 87 | 2.02 |
| 7 | 137 | 5.38 |
| 8 | 291 | 5.96 |